Crystalline ScNOF2 at its relaxed geometry. Source: the Alexandria database, functional PBE.

Cell and atoms, written as CIF:
```
data_ScNOF2
_cell_length_a 4.0575
_cell_length_b 4.0575
_cell_length_c 4.2529
_cell_angle_alpha 90.00
_cell_angle_beta 90.00
_cell_angle_gamma 90.00
_symmetry_space_group_name_H-M 'P 1'
_symmetry_Int_Tables_number 1
loop_
_symmetry_equiv_pos_as_xyz
'x,y,z'
loop_
_atom_site_label
_atom_site_type_symbol
_atom_site_fract_x
_atom_site_fract_y
_atom_site_fract_z
_atom_site_occupancy
F1 F 0.0000 0.5000 0.0000 1
Sc1 Sc 0.0000 0.0000 0.0000 1
F2 F 0.5000 0.0000 0.0000 1
N1 N 0.5000 0.5000 0.5000 1
O1 O 0.0000 0.0000 0.5000 1
```

Summary:
Symmetry: P4/mmm
Magnetization (μB per formula unit): 2.000
Crystal system: tetragonal
Formation energy from raw total energies (eV/atom): -1.3678

***

Crystalline SiNO2F at its relaxed geometry. Source: the Alexandria database, functional PBE.

Cell and atoms, written as CIF:
```
data_SiNO2F
_cell_length_a 3.7953
_cell_length_b 3.7953
_cell_length_c 3.4981
_cell_angle_alpha 90.00
_cell_angle_beta 90.00
_cell_angle_gamma 90.00
_symmetry_space_group_name_H-M 'P 1'
_symmetry_Int_Tables_number 1
loop_
_symmetry_equiv_pos_as_xyz
'x,y,z'
loop_
_atom_site_label
_atom_site_type_symbol
_atom_site_fract_x
_atom_site_fract_y
_atom_site_fract_z
_atom_site_occupancy
Si1 Si 0.5000 0.5000 0.5000 1
N1 N 0.0000 0.0000 0.5000 1
O1 O 0.5000 0.0000 0.0000 1
F1 F 0.0000 0.0000 0.0000 1
O2 O 0.0000 0.5000 0.0000 1
```

Summary:
Symmetry: P4/mmm
Magnetization (μB per formula unit): 0.018
Crystal system: tetragonal
Formation energy from raw total energies (eV/atom): 1.6878

***

Crystalline SiNO2F at its relaxed geometry. Source: the Alexandria database, functional PBE.

Cell and atoms, written as CIF:
```
data_SiNO2F
_cell_length_a 3.3530
_cell_length_b 3.3530
_cell_length_c 4.1255
_cell_angle_alpha 90.00
_cell_angle_beta 90.00
_cell_angle_gamma 90.00
_symmetry_space_group_name_H-M 'P 1'
_symmetry_Int_Tables_number 1
loop_
_symmetry_equiv_pos_as_xyz
'x,y,z'
loop_
_atom_site_label
_atom_site_type_symbol
_atom_site_fract_x
_atom_site_fract_y
_atom_site_fract_z
_atom_site_occupancy
F1 F 0.5000 0.5000 0.5000 1
N1 N 0.0000 0.0000 0.5000 1
O1 O 0.5000 0.0000 0.0000 1
Si1 Si 0.0000 0.0000 0.0000 1
O2 O 0.0000 0.5000 0.0000 1
```

Summary:
Symmetry: P4/mmm
Magnetization (μB per formula unit): 1.297
Crystal system: tetragonal
Formation energy from raw total energies (eV/atom): -0.3007

***

Crystalline SiNO2F at its relaxed geometry. Source: the Alexandria database, functional PBE.

Cell and atoms, written as CIF:
```
data_SiNO2F
_cell_length_a 3.4809
_cell_length_b 3.4809
_cell_length_c 3.7142
_cell_angle_alpha 90.00
_cell_angle_beta 90.00
_cell_angle_gamma 90.00
_symmetry_space_group_name_H-M 'P 1'
_symmetry_Int_Tables_number 1
loop_
_symmetry_equiv_pos_as_xyz
'x,y,z'
loop_
_atom_site_label
_atom_site_type_symbol
_atom_site_fract_x
_atom_site_fract_y
_atom_site_fract_z
_atom_site_occupancy
Si1 Si 0.0000 0.0000 0.0000 1
O1 O 0.5000 0.0000 0.0000 1
O2 O 0.0000 0.5000 0.0000 1
N1 N 0.5000 0.5000 0.5000 1
F1 F 0.0000 0.0000 0.5000 1
```

Summary:
Symmetry: P4/mmm
Magnetization (μB per formula unit): 2.046
Crystal system: tetragonal
Formation energy from raw total energies (eV/atom): -0.4568

***

Crystalline SiNO2F at its relaxed geometry. Source: the Alexandria database, functional PBE.

Cell and atoms, written as CIF:
```
data_SiNO2F
_cell_length_a 3.6225
_cell_length_b 3.6225
_cell_length_c 3.6715
_cell_angle_alpha 90.00
_cell_angle_beta 90.00
_cell_angle_gamma 90.00
_symmetry_space_group_name_H-M 'P 1'
_symmetry_Int_Tables_number 1
loop_
_symmetry_equiv_pos_as_xyz
'x,y,z'
loop_
_atom_site_label
_atom_site_type_symbol
_atom_site_fract_x
_atom_site_fract_y
_atom_site_fract_z
_atom_site_occupancy
O1 O 0.0000 0.5000 0.0000 1
N1 N 0.0000 0.0000 0.0000 1
Si1 Si 0.5000 0.5000 0.5000 1
O2 O 0.5000 0.0000 0.0000 1
F1 F 0.0000 0.0000 0.5000 1
```

Summary:
Symmetry: P4/mmm
Magnetization (μB per formula unit): 0.000
Crystal system: tetragonal
Formation energy from raw total energies (eV/atom): 0.7761

***

Crystalline Sn2NOF at its relaxed geometry. Source: the Alexandria database, functional PBE.

Cell and atoms, written as CIF:
```
data_Sn2NOF
_cell_length_a 4.8179
_cell_length_b 3.5969
_cell_length_c 4.8179
_cell_angle_alpha 90.00
_cell_angle_beta 90.00
_cell_angle_gamma 90.00
_symmetry_space_group_name_H-M 'P 1'
_symmetry_Int_Tables_number 1
loop_
_symmetry_equiv_pos_as_xyz
'x,y,z'
loop_
_atom_site_label
_atom_site_type_symbol
_atom_site_fract_x
_atom_site_fract_y
_atom_site_fract_z
_atom_site_occupancy
Sn1 Sn 0.0000 0.0000 0.5000 1
F1 F 0.0000 0.0000 0.0000 1
O1 O 0.5000 0.5000 0.5000 1
Sn2 Sn 0.5000 0.0000 0.0000 1
N1 N 0.0000 0.5000 0.0000 1
```

Summary:
Symmetry: P4/mmm
Magnetization (μB per formula unit): 0.000
Crystal system: tetragonal
Formation energy from raw total energies (eV/atom): 0.5743

***

Crystalline SnN2OF at its relaxed geometry. Source: the Alexandria database, functional PBE.

Cell and atoms, written as CIF:
```
data_SnN2OF
_cell_length_a 3.7298
_cell_length_b 3.7298
_cell_length_c 3.8778
_cell_angle_alpha 90.00
_cell_angle_beta 90.00
_cell_angle_gamma 90.00
_symmetry_space_group_name_H-M 'P 1'
_symmetry_Int_Tables_number 1
loop_
_symmetry_equiv_pos_as_xyz
'x,y,z'
loop_
_atom_site_label
_atom_site_type_symbol
_atom_site_fract_x
_atom_site_fract_y
_atom_site_fract_z
_atom_site_occupancy
O1 O 0.0000 0.0000 0.5000 1
N1 N 0.0000 0.5000 0.0000 1
Sn1 Sn 0.5000 0.5000 0.5000 1
N2 N 0.5000 0.0000 0.0000 1
F1 F 0.0000 0.0000 0.0000 1
```

Summary:
Symmetry: P4/mmm
Magnetization (μB per formula unit): 0.367
Crystal system: tetragonal
Formation energy from raw total energies (eV/atom): 1.7959

***

Crystalline SnN2OF at its relaxed geometry. Source: the Alexandria database, functional PBE.

Cell and atoms, written as CIF:
```
data_SnN2OF
_cell_length_a 4.3158
_cell_length_b 4.3158
_cell_length_c 4.0419
_cell_angle_alpha 90.00
_cell_angle_beta 90.00
_cell_angle_gamma 90.00
_symmetry_space_group_name_H-M 'P 1'
_symmetry_Int_Tables_number 1
loop_
_symmetry_equiv_pos_as_xyz
'x,y,z'
loop_
_atom_site_label
_atom_site_type_symbol
_atom_site_fract_x
_atom_site_fract_y
_atom_site_fract_z
_atom_site_occupancy
F1 F 0.5000 0.5000 0.5000 1
Sn1 Sn 0.0000 0.0000 0.0000 1
N1 N 0.5000 0.0000 0.0000 1
N2 N 0.0000 0.5000 0.0000 1
O1 O 0.0000 0.0000 0.5000 1
```

Summary:
Symmetry: P4/mmm
Magnetization (μB per formula unit): 5.001
Crystal system: tetragonal
Formation energy from raw total energies (eV/atom): 1.0825

***

Crystalline SnN2OF at its relaxed geometry. Source: the Alexandria database, functional PBE.

Cell and atoms, written as CIF:
```
data_SnN2OF
_cell_length_a 3.5167
_cell_length_b 3.5167
_cell_length_c 4.7860
_cell_angle_alpha 90.00
_cell_angle_beta 90.00
_cell_angle_gamma 90.00
_symmetry_space_group_name_H-M 'P 1'
_symmetry_Int_Tables_number 1
loop_
_symmetry_equiv_pos_as_xyz
'x,y,z'
loop_
_atom_site_label
_atom_site_type_symbol
_atom_site_fract_x
_atom_site_fract_y
_atom_site_fract_z
_atom_site_occupancy
O1 O 0.0000 0.0000 0.0000 1
Sn1 Sn 0.5000 0.5000 0.5000 1
N1 N 0.0000 0.5000 0.0000 1
F1 F 0.0000 0.0000 0.5000 1
N2 N 0.5000 0.0000 0.0000 1
```

Summary:
Symmetry: P4/mmm
Magnetization (μB per formula unit): 0.000
Crystal system: tetragonal
Formation energy from raw total energies (eV/atom): 1.2521

***

Crystalline SrNO2F at its relaxed geometry. Source: the Alexandria database, functional PBE.

Cell and atoms, written as CIF:
```
data_SrNO2F
_cell_length_a 4.4664
_cell_length_b 4.4664
_cell_length_c 3.4912
_cell_angle_alpha 90.00
_cell_angle_beta 90.00
_cell_angle_gamma 90.00
_symmetry_space_group_name_H-M 'P 1'
_symmetry_Int_Tables_number 1
loop_
_symmetry_equiv_pos_as_xyz
'x,y,z'
loop_
_atom_site_label
_atom_site_type_symbol
_atom_site_fract_x
_atom_site_fract_y
_atom_site_fract_z
_atom_site_occupancy
O1 O 0.0000 0.5000 0.0000 1
N1 N 0.0000 0.0000 0.5000 1
Sr1 Sr 0.5000 0.5000 0.5000 1
O2 O 0.5000 0.0000 0.0000 1
F1 F 0.0000 0.0000 0.0000 1
```

Summary:
Symmetry: P4/mmm
Magnetization (μB per formula unit): 3.994
Crystal system: tetragonal
Formation energy from raw total energies (eV/atom): 0.2366

***

Copy entry 9 word for word.
Crystalline SnN2OF at its relaxed geometry. Source: the Alexandria database, functional PBE.

Cell and atoms, written as CIF:
```
data_SnN2OF
_cell_length_a 3.5167
_cell_length_b 3.5167
_cell_length_c 4.7860
_cell_angle_alpha 90.00
_cell_angle_beta 90.00
_cell_angle_gamma 90.00
_symmetry_space_group_name_H-M 'P 1'
_symmetry_Int_Tables_number 1
loop_
_symmetry_equiv_pos_as_xyz
'x,y,z'
loop_
_atom_site_label
_atom_site_type_symbol
_atom_site_fract_x
_atom_site_fract_y
_atom_site_fract_z
_atom_site_occupancy
O1 O 0.0000 0.0000 0.0000 1
Sn1 Sn 0.5000 0.5000 0.5000 1
N1 N 0.0000 0.5000 0.0000 1
F1 F 0.0000 0.0000 0.5000 1
N2 N 0.5000 0.0000 0.0000 1
```

Summary:
Symmetry: P4/mmm
Magnetization (μB per formula unit): 0.000
Crystal system: tetragonal
Formation energy from raw total energies (eV/atom): 1.2521